10
Lattice="5.648 0.000 0.000 0.000 9.463 -0.602 0.000 -4.807 8.174" Properties=species:S:1:pos:R:3 comment="Tb2Pr7Er PBE optimized geometry" volume_a3_per_atom=42.1 final_energy_ev_per_atom=-4.1041 formation_energy_ev_per_atom=0.624 pbc="T T T"
Tb 2.824 5.259 1.983
Tb 2.824 -0.603 5.588
Pr 0.000 6.352 1.311
Pr 0.000 -1.696 6.260
Pr 2.824 -0.761 2.344
Pr 2.824 5.417 5.227
Pr 2.824 2.435 0.378
Pr 2.824 2.221 7.193
Pr 2.824 2.328 3.786
Er 0.000 0.000 0.000